[1]
## Nb2CdCoW (PBE)

Data for a geometry-optimized Nb2CdCoW structure.

Cell and atoms, written as POSCAR:
```
Nb2CdCoW
1.0
4.8728 0.0000 0.0000
0.0000 4.8728 0.0000
0.0000 0.0000 4.5219
Nb Cd Co W
2 1 1 1
Cartesian
0.0000 2.4364 0.0000 Nb
2.4364 0.0000 0.0000 Nb
0.0000 0.0000 2.2610 Cd
2.4364 2.4364 2.2610 Co
2.4364 2.4364 0.0000 W
```

Space-group type   P4/mmm, No. 123
Raw total energy   -6.965 eV/atom

[2]
## NbZnCdCo (PBE)

Data for a geometry-optimized NbZnCdCo structure.

Cell and atoms, written as POSCAR:
```
NbZnCdCo
1.0
0.0000 3.1330 3.1330
3.1330 0.0000 3.1330
3.1330 3.1330 0.0000
Nb Zn Cd Co
1 1 1 1
Cartesian
0.0000 0.0000 0.0000 Nb
1.5665 1.5665 1.5665 Zn
3.1330 3.1330 3.1330 Cd
4.6995 4.6995 4.6995 Co
```

Space-group type   F-43m, No. 216
Raw total energy   -4.762 eV/atom

[3]
## ZrNbCd2Co (PBE)

Data for a geometry-optimized ZrNbCd2Co structure.

Cell and atoms, written as POSCAR:
```
ZrNbCd2Co
1.0
4.8431 0.0000 0.0000
0.0000 4.8431 0.0000
0.0000 0.0000 4.5486
Zr Nb Cd Co
1 1 2 1
Cartesian
0.0000 0.0000 0.0000 Zr
2.4215 2.4215 0.0000 Nb
0.0000 2.4215 2.2743 Cd
2.4215 0.0000 2.2743 Cd
0.0000 0.0000 2.2743 Co
```

Space-group type   P4/mmm, No. 123
Raw total energy   -4.827 eV/atom

[4]
## Zr2NbCdCo (PBE)

Data for a geometry-optimized Zr2NbCdCo structure.

Cell and atoms, written as POSCAR:
```
Zr2NbCdCo
1.0
5.1478 0.0000 0.0000
0.0000 5.1478 0.0000
0.0000 0.0000 4.4341
Zr Nb Cd Co
2 1 1 1
Cartesian
0.0000 2.5739 0.0000 Zr
2.5739 0.0000 0.0000 Zr
0.0000 0.0000 0.0000 Nb
2.5739 2.5739 2.2171 Cd
0.0000 0.0000 2.2171 Co
```

Space-group type   P4/mmm, No. 123
Raw total energy   -6.170 eV/atom

[5]
## Nd4Cd3Co (PBE)

Data for a geometry-optimized Nd4Cd3Co structure.

Cell and atoms, written as POSCAR:
```
Nd4Cd3Co
1.0
3.6620 0.0000 0.0000
0.0000 3.6620 0.0000
0.0000 0.0000 15.9505
Nd Cd Co
4 3 1
Cartesian
0.0000 0.0000 1.6525 Nd
0.0000 0.0000 5.8871 Nd
0.0000 0.0000 10.0634 Nd
0.0000 0.0000 14.2981 Nd
1.8310 1.8310 3.8236 Cd
1.8310 1.8310 7.9753 Cd
1.8310 1.8310 12.1270 Cd
1.8310 1.8310 0.0000 Co
```

Space-group type   P4/mmm, No. 123
Raw total energy   -3.831 eV/atom

[6]
## Nd5CdCo2 (PBE)

Data for a geometry-optimized Nd5CdCo2 structure.

Cell and atoms, written as POSCAR:
```
Nd5CdCo2
1.0
-3.9539 3.9539 6.8392
3.9539 -3.9539 6.8392
3.9539 3.9539 -6.8392
Nd Cd Co
10 2 4
Cartesian
0.0000 0.0000 0.0000 Nd
5.2248 1.2709 -1.7948 Nd
1.2709 2.6830 -1.7948 Nd
5.2248 1.2709 1.7948 Nd
1.2709 2.6830 1.7948 Nd
0.0000 0.0000 6.8392 Nd
2.6830 1.2709 5.0444 Nd
-1.2709 2.6830 5.0444 Nd
2.6830 1.2709 8.6341 Nd
-1.2709 2.6830 8.6341 Nd
0.0000 0.0000 3.4196 Cd
0.0000 0.0000 10.2589 Cd
2.9082 1.0457 0.0000 Co
2.9082 -1.0457 6.8392 Co
1.0457 4.9996 0.0000 Co
1.0457 2.9082 6.8392 Co
```

Space-group type   I4/mcm, No. 140
Raw total energy   -4.986 eV/atom

no.,energy of formation (eV/atom)
1,1.26
2,0.08
3,0.68
4,0.87
5,-0.22
6,-0.11